[1]
# Ba3NaNi GGA-PBE optimized geometry
data_Ba3NaNi
_chemical_formula_sum 'Ba6 Na2 Ni2'
_space_group_name_H-M_alt 'P 1 21/m 1'
_space_group_IT_number 11
_cell_length_a 10.554
_cell_length_b 4.328
_cell_length_c 11.081
_cell_angle_alpha 90.00
_cell_angle_beta 112.76
_cell_angle_gamma 90.00
loop_
_space_group_symop_operation_xyz
'x,y,z'
'-x,-y,-z'
'-x,y+1/2,-z'
'x,-y+1/2,z'
loop_
_atom_site_label
_atom_site_type_symbol
_atom_site_fract_x
_atom_site_fract_y
_atom_site_fract_z
Ba1 Ba 0.015 0.250 0.325
Ba2 Ba 0.256 0.250 0.053
Ba3 Ba 0.368 0.250 0.733
Na1 Na 0.353 0.750 0.412
Ni1 Ni 0.451 0.750 0.973
# mass density: 3.513 Mg/m³
# total energy: -25.5 eV per cell
# excess energy over the best structure of this formula in the dataset: 16.1 meV/atom

[2]
# Rb2YCuCl6 GGA-PBE optimized geometry
data_Rb2YCuCl6
_chemical_formula_sum 'Rb4 Y2 Cu2 Cl12'
_space_group_name_H-M_alt 'I 4/m m m'
_space_group_IT_number 139
_space_group_name_Hall '-I 4 2'
_cell_length_a 8.062
_cell_length_b 8.062
_cell_length_c 9.094
_cell_angle_alpha 90.00
_cell_angle_beta 90.00
_cell_angle_gamma 90.00
loop_
_atom_site_label
_atom_site_type_symbol
_atom_site_fract_x
_atom_site_fract_y
_atom_site_fract_z
Rb1 Rb 0.000 0.500 0.250
Y1 Y 0.000 0.000 0.000
Cu1 Cu 0.000 0.000 0.500
Cl1 Cl 0.000 0.000 0.274
Cl2 Cl 0.232 0.232 0.000
# mass density: 3.012 Mg/m³
# total energy: -82.0 eV per cell
# excess energy over the best structure of this formula in the dataset: 28.4 meV/atom
# raw formation energy: -1741.6 meV per atom

[3]
# BiRu GGA-PBE optimized geometry
data_BiRu
_chemical_formula_sum 'Bi4 Ru4'
_space_group_name_H-M_alt 'C m c m'
_space_group_IT_number 63
_space_group_name_Hall '-C 2c 2'
_cell_length_a 4.085
_cell_length_b 10.528
_cell_length_c 3.938
_cell_angle_alpha 90.00
_cell_angle_beta 90.00
_cell_angle_gamma 90.00
loop_
_atom_site_label
_atom_site_type_symbol
_atom_site_fract_x
_atom_site_fract_y
_atom_site_fract_z
Bi1 Bi 0.000 0.149 0.250
Ru1 Ru 0.000 0.428 0.250
# mass density: 12.161 Mg/m³
# total energy: -49.7 eV per cell

[4]
# TbPr2Dy4 GGA-PBE optimized geometry
data_TbPr2Dy4
_chemical_formula_sum 'Tb2 Pr4 Dy8'
_space_group_name_H-M_alt 'I 4/m m m'
_space_group_IT_number 139
_space_group_name_Hall '-I 4 2'
_cell_length_a 5.541
_cell_length_b 5.541
_cell_length_c 17.274
_cell_angle_alpha 90.00
_cell_angle_beta 90.00
_cell_angle_gamma 90.00
loop_
_atom_site_label
_atom_site_type_symbol
_atom_site_fract_x
_atom_site_fract_y
_atom_site_fract_z
Tb1 Tb 0.000 0.000 0.000
Pr1 Pr 0.000 0.000 0.376
Dy1 Dy 0.000 0.000 0.176
Dy2 Dy 0.000 0.500 0.000
# mass density: 6.831 Mg/m³
# total energy: -56.2 eV per cell
# excess energy over the best structure of this formula in the dataset: 631.7 meV/atom

[5]
# Gd2CuPt GGA-PBE optimized geometry
data_Gd2CuPt
_chemical_formula_sum 'Gd6 Cu3 Pt3'
_space_group_name_H-M_alt 'R -3 m'
_space_group_IT_number 166
_space_group_name_Hall '-R 3 2"'
_cell_length_a 4.1251
_cell_length_b 4.1251
_cell_length_c 26.1659
_cell_angle_alpha 90.00
_cell_angle_beta 90.00
_cell_angle_gamma 120.00
loop_
_atom_site_label
_atom_site_type_symbol
_atom_site_fract_x
_atom_site_fract_y
_atom_site_fract_z
Gd1 Gd 0.0000 0.0000 0.1090
Cu1 Cu 0.0000 0.0000 0.0000
Pt1 Pt 0.0000 0.0000 0.5000
# mass density: 7.404 Mg/m³
# total energy: -116.7 eV per cell

- total energy of number 4 (TbPr2Dy4)?
  -56.2 eV per cell

- Among the records above, which one has the highest total energy?
  Ba3NaNi

- Look up the mass density of the fourth one.
  6.831 Mg/m³

- Number 1 is which compound?
  Ba3NaNi